TiSnSb3: relaxed, PBE-GGA.

Cell and atoms, written as CIF:
```
data_TiSnSb3
_cell_length_a 5.530
_cell_length_b 5.530
_cell_length_c 5.530
_cell_angle_alpha 90.00
_cell_angle_beta 90.00
_cell_angle_gamma 90.00
_space_group_name_H-M_alt 'P m -3 m'
_space_group_IT_number 221
_space_group_name_Hall '-P 4 2 3'
loop_
_atom_site_label
_atom_site_fract_x
_atom_site_fract_y
_atom_site_fract_z
Ti1 0.000 0.000 0.000
Sn1 0.500 0.500 0.500
Sb1 0.000 0.500 0.500
```

Its density of states at the Fermi level is 9.59 states/eV per cell. As for the energy above the most stable polymorph in this dataset: 0.959 eV per atom. The density comes out at 5.222 Mg/m³. Its total energy is -3.701 eV per atom.